No. 1
Here is a geometry-optimized ReSbW structure from the Alexandria database. Energies are from PBE-GGA.

Structure (extended XYZ):
```
3
Lattice="0.000 3.095 3.095 3.095 0.000 3.095 3.095 3.095 0.000" Properties=species:S:1:pos:R:3 pbc="T T T"
Re 0.000 0.000 0.000
Sb 4.642 4.642 4.642
W 1.547 1.547 1.547
```

Output
- E_form (uncorrected): 0.344 eV/atom
- Energy above the most stable polymorph in this dataset: 0.000 eV per atom
- SG: No. 216
- Magnetization: 0.00 μB/f.u.

---

No. 2
Here is a geometry-optimized HfGeI2F structure from the Alexandria database. Energies are from PBE-GGA.

Structure (extended XYZ):
```
5
Lattice="5.511 0.000 0.000 0.000 5.511 0.000 0.000 0.000 5.376" Properties=species:S:1:pos:R:3 pbc="T T T"
Hf 0.000 0.000 0.000
Ge 0.000 0.000 2.688
I 0.000 2.755 0.000
I 2.755 0.000 0.000
F 2.755 2.755 2.688
```

Output
- E_form (uncorrected): -0.248 eV/atom
- SG: No. 123
- Magnetization: 0.00 μB/f.u.

---

No. 3
Here is a geometry-optimized Tb3YAg3 structure from the Alexandria database. Energies are from PBE-GGA.

Structure (extended XYZ):
```
14
Lattice="4.973 -5.369 0.000 4.973 5.369 0.000 -0.142 0.000 7.017" Properties=species:S:1:pos:R:3 pbc="T T T"
Tb 4.973 3.405 0.000
Tb 4.902 2.563 3.509
Tb 3.696 0.000 1.075
Tb 6.108 0.000 5.943
Tb 4.902 -2.563 3.509
Tb 4.973 -3.405 0.000
Y 2.467 0.000 4.543
Y 7.337 0.000 2.474
Ag 2.369 2.574 1.623
Ag 0.667 0.000 2.203
Ag 2.369 -2.574 1.623
Ag 7.435 2.574 5.394
Ag 9.138 0.000 4.814
Ag 7.435 -2.574 5.394
```

Output
- ΔH_f (0 K): -1.0 eV/f.u.
- SG: No. 12
- Magnetization: 0.00 μB/f.u.

---

No. 4
Here is a geometry-optimized MgNbBiO6 structure from the Alexandria database. Energies are from PBE-GGA.

Structure (extended XYZ):
```
18
Lattice="5.398 0.000 0.000 -2.699 4.675 0.000 0.000 0.000 9.222" Properties=species:S:1:pos:R:3 pbc="T T T"
Mg 0.000 0.000 0.000
Mg 0.000 0.000 4.611
Nb 0.000 3.117 2.305
Nb 2.699 1.558 6.916
Bi 0.000 3.117 6.916
Bi 2.699 1.558 2.305
O -0.862 1.653 1.192
O -1.698 3.102 3.419
O 0.862 1.653 3.419
O -0.837 4.595 1.192
O 1.863 0.080 5.803
O 1.001 1.573 8.030
O 1.698 3.102 1.192
O 0.837 4.595 3.419
O 3.536 0.080 8.030
O 1.837 3.022 5.803
O 4.398 1.573 5.803
O 3.561 3.022 8.030
```

Output
- E_form (uncorrected): -1.793 eV/atom
- SG: No. 163
- Magnetization: 0.00 μB/f.u.

---

No. 5
Here is a geometry-optimized Ho2TmTl3Te6 structure from the Alexandria database. Energies are from PBE-GGA.

Structure (extended XYZ):
```
12
Lattice="3.834 -6.641 0.000 3.834 6.641 0.000 -2.557 0.000 8.188" Properties=species:S:1:pos:R:3 pbc="T T T"
Ho 3.834 4.429 0.000
Ho 3.834 -4.429 0.000
Tm 3.834 0.000 0.000
Tl -1.278 0.000 4.094
Tl 2.556 2.224 4.094
Tl 2.556 -2.224 4.094
Te 0.007 2.201 6.458
Te 1.293 0.000 1.735
Te 0.007 -2.201 6.458
Te 5.105 2.201 1.731
Te 3.819 0.000 6.453
Te 5.105 -2.201 1.731
```

Output
- E_form (uncorrected): -1.040 eV/atom
- SG: No. 12
- Magnetization: 0.00 μB/f.u.

---

No. 6
Here is a geometry-optimized CuSiMo2 structure from the Alexandria database. Energies are from PBE-GGA.

Structure (extended XYZ):
```
4
Lattice="1.641 -2.183 0.000 1.641 2.183 0.000 0.000 0.000 8.072" Properties=species:S:1:pos:R:3 pbc="T T T"
Cu 0.000 0.000 0.000
Si 1.641 0.000 1.793
Mo 0.000 0.000 3.764
Mo 1.641 0.000 5.957
```

Output
- E_form (uncorrected): 0.106 eV/atom
- SG: No. 35
- Magnetization: 0.00 μB/f.u.

---

No. 7
Here is a geometry-optimized ZnCr2I structure from the Alexandria database. Energies are from PBE-GGA.

Structure (extended XYZ):
```
4
Lattice="0.000 3.145 3.145 3.145 0.000 3.145 3.145 3.145 0.000" Properties=species:S:1:pos:R:3 pbc="T T T"
Zn 0.000 0.000 0.000
Cr 1.572 1.572 1.572
Cr 4.717 4.717 4.717
I 3.145 3.145 3.145
```

Output
- E_form (uncorrected): 0.943 eV/atom
- Energy above the most stable polymorph in this dataset: 0.000 eV per atom
- SG: No. 225
- Magnetization: 3.24 μB/f.u.

---

No. 8
Here is a geometry-optimized Zr4MoIr structure from the Alexandria database. Energies are from PBE-GGA.

Structure (extended XYZ):
```
6
Lattice="0.000 3.920 3.920 3.920 0.000 3.920 3.920 3.920 0.000" Properties=species:S:1:pos:R:3 pbc="T T T"
Zr 0.977 0.977 0.977
Zr 2.942 2.942 0.977
Zr 2.942 0.977 2.942
Zr 0.977 2.942 2.942
Mo 3.920 3.920 3.920
Ir 5.880 5.880 5.880
```

Output
- ΔH_f (0 K): 3.4 eV/f.u.
- SG: No. 216
- Magnetization: 0.00 μB/f.u.

---

No. 9
Here is a geometry-optimized Sc4GaCu2Rh structure from the Alexandria database. Energies are from PBE-GGA.

Structure (extended XYZ):
```
8
Lattice="2.319 1.339 7.579 -2.319 1.339 7.579 0.000 -2.678 7.579" Properties=species:S:1:pos:R:3 pbc="T T T"
Sc 0.000 0.000 2.755
Sc 0.000 0.000 8.461
Sc 0.000 0.000 14.276
Sc 0.000 0.000 19.982
Ga 0.000 0.000 11.369
Cu 0.000 0.000 5.597
Cu 0.000 0.000 17.140
Rh 0.000 0.000 0.000
```

Output
- ΔH_f (0 K): -4.6 eV/f.u.
- SG: No. 166
- Magnetization: 0.00 μB/f.u.

---

No. 10
Here is a geometry-optimized Ca2ScCuAu6 structure from the Alexandria database. Energies are from PBE-GGA.

Structure (extended XYZ):
```
10
Lattice="0.000 5.039 5.039 5.039 0.000 5.039 5.039 5.039 0.000" Properties=species:S:1:pos:R:3 pbc="T T T"
Ca 2.520 2.520 2.520
Ca 7.559 7.559 7.559
Sc 0.000 0.000 0.000
Cu 5.039 5.039 5.039
Au 5.039 5.039 2.598
Au 5.039 2.598 5.039
Au 7.480 5.039 5.039
Au 2.598 5.039 5.039
Au 5.039 7.480 5.039
Au 5.039 5.039 7.480
```

Output
- ΔH_f (0 K): -2.0 eV/f.u.
- SG: No. 225
- Magnetization: 0.00 μB/f.u.

---

No. 11
Here is a geometry-optimized TaCrFe2 structure from the Alexandria database. Energies are from PBE-GGA.

Structure (extended XYZ):
```
4
Lattice="1.341 0.774 8.615 -1.341 0.774 8.615 0.000 -1.548 8.615" Properties=species:S:1:pos:R:3 pbc="T T T"
Ta 0.000 0.000 0.000
Cr 0.000 0.000 19.647
Fe 0.000 0.000 6.285
Fe 0.000 0.000 12.897
```

Output
- ΔH_f (0 K): 1.3 eV/f.u.
- SG: No. 160
- Magnetization: 3.07 μB/f.u.

---

No. 12
Here is a geometry-optimized Li2ZrUO6 structure from the Alexandria database. Energies are from PBE-GGA.

Structure (extended XYZ):
```
10
Lattice="2.690 1.553 4.869 -2.690 1.553 4.869 0.000 -3.107 4.869" Properties=species:S:1:pos:R:3 pbc="T T T"
Li 0.000 0.000 0.000
Li 0.000 0.000 7.187
Zr 0.000 0.000 3.138
U 0.000 0.000 10.408
O -0.933 -1.720 6.650
O -1.657 0.097 9.115
O -1.023 1.668 6.650
O 0.744 -1.483 9.115
O 1.956 0.052 6.650
O 0.913 1.386 9.115
```

Output
- E_form (uncorrected): -2.884 eV/atom
- SG: No. 146
- Magnetization: 0.00 μB/f.u.

---

Raw total energy readings, ordered: -9.50; -4.16; -4.28; -6.83; -4.34; -7.69; -4.57; -8.42; -6.06; -3.61; -9.27; -8.23 eV per atom
Volume readings, ordered: 19.76; 32.65; 26.77; 12.93; 34.75; 14.45; 15.55; 20.08; 17.66; 25.59; 13.41; 12.21 Å³ per atom